A geometry-optimized Sm2YTm9 structure. Source: the Alexandria database, functional PBE.

Calculated values
energy relative to the elements: 28 meV/atom
electronic total energy: -4.6511 eV/atom

a b c (Å): 4.9758 4.9758 14.9262
angles (deg): 90.00 90.00 90.00
Closest atoms and distances in Å follow each position.
Space group P4/mmm (No. 123)
Unique sites:
Sm  0.0000  0.0000  0.1667 [2 per cell]  12 Tm 3.52
Y  0.0000  0.0000  0.5000 [1 per cell]  12 Tm 3.51-3.52
Tm  0.0000  0.5000  0.0000 [2 per cell]  8 Tm 3.52, 4 Sm 3.52
Tm  0.0000  0.5000  0.3338 [4 per cell]  8 Tm 3.51-3.52, 2 Y 3.51, 2 Sm 3.52
Tm  0.5000  0.5000  0.1672 [2 per cell]  8 Tm 3.52, 4 Sm 3.52
Tm  0.5000  0.5000  0.5000 [1 per cell]  8 Tm 3.51, 4 Y 3.52